Material: Na2Sr2Zn
Method: DFT, GGA-PBE
State: optimized geometry

Cell: 4.211 4.211 10.964 Å, 78.93 78.93 90.00°
Element x y z (fractional)
Sr  0.413  0.413  0.175
Sr  0.587  0.587  0.825
Zn  0.000  0.000  0.000
Na  0.750  0.250  0.500
Na  0.250  0.750  0.500

total moment: 0.00 μB per formula unit
density of states at the Fermi level: 0.59 states/eV per atom
calculated formation energy: 0.044 eV/atom
theoretical density: 2.5 Mg/m³
relative energy among the computed polymorphs: 127 meV/atom
SG: I4/mmm
electronic total energy: -1.4110 eV per atom

Material: SrGd
Method: DFT, GGA-PBE
State: optimized geometry

Cell: 3.875 3.875 11.121 Å, 90.00 90.02 90.00°
Element x y z (fractional)
Sr  0.249  0.750  0.648
Sr  0.751  0.250  0.352
Gd  0.250  0.750  0.095
Gd  0.750  0.250  0.905

total moment: 7.44 μB per formula unit
density of states at the Fermi level: 1.42 states/eV per atom
calculated formation energy: 0.086 eV/atom
theoretical density: 4.9 Mg/m³
SG: P2_1/m
electronic total energy: -7.7956 eV per atom

Material: Ti5Nb2Sb
Method: DFT, GGA-PBE
State: optimized geometry

Cell: 7.032 7.032 7.706 Å, 117.14 117.14 90.00°
Element x y z (fractional)
Ti  0.487  0.694  0.681
Ti  0.806  0.013  0.319
Ti  0.000  0.000  0.000
Ti  0.500  0.500  0.000
Ti  0.194  0.987  0.681
Ti  0.694  0.194  0.681
Ti  0.987  0.487  0.681
Ti  0.306  0.806  0.319
Ti  0.013  0.513  0.319
Ti  0.513  0.306  0.319
Nb  0.159  0.341  0.000
Nb  0.659  0.159  0.000
Nb  0.341  0.841  0.000
Nb  0.841  0.659  0.000
Sb  0.750  0.750  0.500
Sb  0.250  0.250  0.500

total moment: 0.00 μB per formula unit
density of states at the Fermi level: 1.22 states/eV per atom
theoretical density: 6.2 Mg/m³
SG: I4/mcm
formation energy (no corrections): 0.02 eV/atom
electronic total energy: -7.9458 eV per atom

Material: Be2TlAg
Method: DFT, GGA-PBE
State: optimized geometry

Cell: 5.000 5.000 5.000 Å, 134.69 134.69 66.01°
Element x y z (fractional)
Be  0.000  0.000  0.000
Be  0.250  0.750  0.500
Tl  0.500  0.500  0.000
Ag  0.750  0.250  0.500

total moment: 0.00 μB per formula unit
density of states at the Fermi level: 0.33 states/eV per atom
calculated formation energy: 0.622 eV/atom
theoretical density: 8.8 Mg/m³
relative energy among the computed polymorphs: 231 meV/atom
SG: I-4m2
electronic total energy: -2.5452 eV per atom

Q: Look up the total moment of the first one.
A: 0.00 μB per formula unit

Q: Which formula does entry 1 have?
A: Na2Sr2Zn

Q: Look up the density of states at the Fermi level of the fourth one.
A: 0.33 states/eV per atom

Q: Among the records above, which one has the highest theoretical density?
A: Be2TlAg